LaZrAg2 | the Alexandria database | PBE-GGA | optimized geometry; E above lowest polymorph = 0.0000 eV/atom; SG = P4/mmm, No. 123; electronic total energy = -19.5 eV/cell; ΔE_f = -74 meV/atom
1.0
3.538 0.001 0.000
-0.001 3.538 0.000
0.000 0.000 7.627
Ag La Zr
2 1 1
Cartesian
0.000 0.000 4.124
0.000 0.000 7.316
1.768 1.770 1.907
1.768 1.770 5.720


La2ZrAg | the Alexandria database | PBE-GGA | optimized geometry; E above lowest polymorph = 0.1945 eV/atom; SG = F-43m, No. 216; electronic total energy = -20.5 eV/cell; ΔE_f = 176 meV/atom
1.0
-3.742 1.661 -3.374
-5.113 -0.201 1.400
-2.659 4.484 0.985
Zr La Ag
1 2 1
Cartesian
-2.878 1.486 -0.247
0.000 0.000 0.000
-8.635 4.458 -0.742
-5.757 2.972 -0.495


La4ZrAg | the Alexandria database | PBE-GGA | optimized geometry; SG = F-43m, No. 216; electronic total energy = -28.0 eV/cell; ΔE_f = 521 meV/atom
1.0
0.000 4.559 4.559
4.559 0.000 4.559
4.559 4.559 0.000
Zr Ag La
1 1 4
Cartesian
6.839 6.839 6.839
0.000 0.000 0.000
3.428 3.428 3.428
5.690 5.690 3.428
5.690 3.428 5.690
3.428 5.690 5.690


La2ZrAg | the Alexandria database | PBE-GGA | optimized geometry; E above lowest polymorph = 0.0586 eV/atom; SG = Pm, No. 6; electronic total energy = -21.1 eV/cell; ΔE_f = 40 meV/atom
1.0
5.252 0.000 0.000
0.000 3.533 0.009
0.000 1.317 6.153
La Ag Zr
2 1 1
Cartesian
2.626 1.301 1.983
0.000 1.235 5.735
2.626 3.064 4.716
0.000 2.991 2.962


LaZrAg | the Alexandria database | PBE-GGA | optimized geometry; E above lowest polymorph = 0.1240 eV/atom; SG = P-1, No. 2; electronic total energy = -32.3 eV/cell; ΔE_f = 55 meV/atom
1.0
-5.138 -0.486 -0.780
-1.388 -2.683 -5.330
-2.787 -3.895 4.039
Zr Ag La
2 2 2
Cartesian
-4.995 -1.481 -2.228
-4.915 -4.548 -1.596
-5.189 -4.022 1.465
-7.507 -5.904 -1.253
-2.677 -2.343 0.148
-2.095 -3.201 -3.192


LaZrAg2 | the Alexandria database | PBE-GGA | optimized geometry; E above lowest polymorph = 0.3133 eV/atom; SG = I-42d, No. 122; electronic total energy = -36.4 eV/cell; ΔE_f = 239 meV/atom
1.0
-1.998 -7.684 -1.950
0.123 -2.041 7.915
-3.860 -4.160 3.209
La Ag Zr
2 4 2
Cartesian
-3.398 -8.353 2.121
0.000 0.000 0.000
-1.194 -3.492 5.451
-3.595 -6.824 4.866
-2.142 -5.882 0.627
-4.539 -11.572 7.404
-0.938 -4.863 2.982
-2.337 -5.532 7.054


La2ZrAg | the Alexandria database | PBE-GGA | optimized geometry; E above lowest polymorph = 0.0000 eV/atom; SG = P4/mmm, No. 123; electronic total energy = -21.3 eV/cell; ΔE_f = -18 meV/atom
1.0
3.558 0.000 0.000
0.000 3.558 0.000
0.000 0.000 9.058
La Zr Ag
2 1 1
Cartesian
0.000 0.000 8.960
0.000 0.000 4.627
1.779 1.779 2.264
1.779 1.779 6.793


LaZr2Ag | the Alexandria database | PBE-GGA | optimized geometry; E above lowest polymorph = 0.2404 eV/atom; SG = Cmmm, No. 65; electronic total energy = -24.1 eV/cell; ΔE_f = 204 meV/atom
1.0
5.279 0.001 0.000
-0.007 5.279 0.000
0.000 0.000 3.333
Zr Ag La
2 1 1
Cartesian
0.000 0.000 0.000
2.636 2.640 0.000
2.639 0.000 1.666
-0.004 2.639 1.666


LaZrAg2 | the Alexandria database | PBE-GGA | optimized geometry; E above lowest polymorph = 0.1187 eV/atom; SG = Cm, No. 8; electronic total energy = -19.0 eV/cell; ΔE_f = 45 meV/atom
1.0
-2.899 5.154 -0.334
-4.702 2.995 -1.999
-3.771 0.192 3.836
Ag La Zr
2 1 1
Cartesian
-8.263 6.068 1.082
-0.272 0.148 0.104
-5.789 4.090 0.967
-2.733 2.205 0.101


LaZr2Ag | the Alexandria database | PBE-GGA | optimized geometry; E above lowest polymorph = 0.1750 eV/atom; SG = Imm2, No. 44; electronic total energy = -24.3 eV/cell; ΔE_f = 139 meV/atom
1.0
-0.333 -5.624 2.450
4.867 -3.691 -0.658
-2.218 5.281 2.221
Zr La Ag
2 1 1
Cartesian
0.037 -0.077 0.015
2.510 -1.640 1.250
-0.177 -2.427 2.770
2.213 -4.547 0.875


La2ZrAg | the Alexandria database | PBE-GGA | optimized geometry; E above lowest polymorph = 0.3239 eV/atom; SG = I-42d, No. 122; electronic total energy = -40.1 eV/cell; ΔE_f = 305 meV/atom
1.0
8.524 0.000 0.000
0.000 8.524 0.000
4.262 4.262 3.176
La Zr Ag
4 2 2
Cartesian
10.655 10.823 2.382
1.964 6.393 0.794
6.393 6.226 2.382
6.561 2.131 0.794
4.262 4.262 0.000
4.262 8.524 1.588
8.524 4.262 1.588
0.000 0.000 0.000


LaZr2Ag | the Alexandria database | PBE-GGA | optimized geometry; E above lowest polymorph = 0.2195 eV/atom; SG = C2/m, No. 12; electronic total energy = -24.1 eV/cell; ΔE_f = 183 meV/atom
1.0
-2.341 -2.235 -5.438
4.995 -1.910 1.323
-1.107 -2.912 0.822
Ag Zr La
1 2 1
Cartesian
1.327 -2.072 -2.057
1.944 -2.411 1.072
0.000 0.000 0.000
-1.724 -2.573 -2.308


LaZrAg2 | the Alexandria database | PBE-GGA | optimized geometry; E above lowest polymorph = 0.2441 eV/atom; SG = F-43m, No. 216; electronic total energy = -18.5 eV/cell; ΔE_f = 170 meV/atom
1.0
-2.899 -0.394 -4.095
-0.898 -4.521 -2.022
-4.584 -2.048 0.350
Zr Ag La
1 2 1
Cartesian
-2.095 -1.741 -1.442
0.000 0.000 0.000
-6.286 -5.222 -4.325
-4.191 -3.481 -2.883


Li2Ag | the Alexandria database | PBE-GGA | optimized geometry; SG = P6_3/mmc, No. 194; electronic total energy = -14.3 eV/cell; ΔE_f = -153 meV/atom
1.0
4.589 0.000 0.000
-2.295 3.975 0.000
0.000 0.000 5.515
Li Ag
4 2
Cartesian
0.000 2.650 4.136
0.000 0.000 0.000
2.295 1.325 1.379
0.000 0.000 2.757
0.000 2.650 1.379
2.295 1.325 4.136


Li2Ag | the Alexandria database | PBE-GGA | optimized geometry; SG = I4_1/amd, No. 141; electronic total energy = -14.0 eV/cell; ΔE_f = -105 meV/atom
1.0
-8.276 8.748 1.170
-10.706 5.620 -0.439
9.053 -7.863 1.614
Li Ag
4 2
Cartesian
-10.868 8.227 0.418
-2.979 2.992 1.522
-5.734 5.077 1.628
-8.113 6.142 0.312
-5.571 2.471 0.770
0.000 0.000 0.000


Li4Ag | the Alexandria database | PBE-GGA | optimized geometry; E above lowest polymorph = 0.0060 eV/atom; SG = C2/m, No. 12; electronic total energy = -22.2 eV/cell; ΔE_f = -115 meV/atom
1.0
-1.610 3.743 2.291
-1.025 -3.000 4.181
6.790 2.196 1.184
Ag Li
2 8
Cartesian
0.000 0.000 0.000
2.078 1.470 3.828
3.822 3.094 2.399
1.703 2.714 6.300
-0.374 1.245 2.472
0.333 -0.155 5.258
0.719 -1.374 2.752
4.530 1.694 5.184
3.436 4.314 4.904
2.452 0.225 1.356


Li4Ag5 | the Alexandria database | PBE-GGA | optimized geometry; E above lowest polymorph = 0.0079 eV/atom; SG = I4/mmm, No. 139; electronic total energy = -23.4 eV/cell; ΔE_f = -162 meV/atom
1.0
6.457 -0.026 0.000
-5.143 3.904 0.000
-0.657 -1.939 6.124
Ag Li
5 4
Cartesian
0.657 1.939 2.072
0.000 0.000 0.000
2.619 1.274 0.000
0.000 0.000 4.052
-1.305 2.604 0.000
-1.841 0.624 1.944
1.841 -0.624 1.944
-3.959 1.341 4.180
3.959 -1.341 4.180


Li8Ag5 | the Alexandria database | PBE-GGA | optimized geometry; SG = I-43m, No. 217; electronic total energy = -64.1 eV/cell; ΔE_f = -193 meV/atom
1.0
8.282 0.000 0.000
-2.761 7.808 0.000
-2.761 -3.904 6.762
Ag Li
10 16
Cartesian
0.960 1.358 2.353
5.401 0.000 0.000
-1.950 1.379 2.388
-1.800 -2.546 4.410
-1.800 5.092 0.000
3.572 -2.525 4.374
3.572 5.051 0.000
1.950 -1.379 2.388
-3.572 2.525 4.374
1.950 2.757 0.000
-2.924 4.228 2.333
-0.560 2.557 4.429
1.885 0.000 0.000
4.961 -1.347 2.333
4.961 2.694 0.000
-0.628 1.777 0.000
2.598 0.324 4.429
-0.628 -0.888 1.539
3.647 1.116 1.934
2.598 3.674 2.495
-2.924 -0.094 4.828
-0.163 3.811 1.934
2.132 3.016 5.223
0.886 -2.788 4.828
0.886 5.575 0.000
-0.163 -0.231 4.267


Li8Ag3 | the Alexandria database | PBE-GGA | optimized geometry; E above lowest polymorph = 0.1711 eV/atom; SG = R-3, No. 148; electronic total energy = -23.7 eV/cell; ΔE_f = 15 meV/atom
1.0
6.102 0.245 0.239
0.400 6.094 0.239
0.400 0.390 6.086
Ag Li
3 8
Cartesian
3.251 0.318 3.162
0.400 3.242 3.162
3.251 3.169 0.239
1.563 4.942 4.905
2.678 2.611 2.547
5.064 1.435 4.819
5.339 1.786 1.659
1.921 1.789 5.249
4.980 4.940 1.315
1.837 5.294 1.745
4.223 4.117 4.017


Li2Ag | the Alexandria database | PBE-GGA | optimized geometry; SG = Pa-3, No. 205; electronic total energy = -26.2 eV/cell; ΔE_f = 45 meV/atom
1.0
6.317 0.000 0.000
0.000 6.317 0.000
0.000 0.000 6.317
Ag Li
4 8
Cartesian
3.159 3.159 0.000
0.000 3.159 3.159
3.159 0.000 3.159
0.000 0.000 0.000
4.093 5.382 5.382
2.224 2.224 4.093
0.935 4.093 0.935
5.382 2.224 5.382
2.224 0.935 0.935
0.935 5.382 4.093
4.093 4.093 2.224
5.382 0.935 2.224